RbNdW2O8, relaxed, DFT GGA+U; VASP energy = -7.39 eV per atom; spin magnetization = 0.000 μB per formula unit
1.0
5.543 -5.476 0.000
5.543 5.476 0.000
-4.891 0.000 5.783
Rb Nd W O
2 2 4 16
Direct
0.205 0.795 0.750 Rb
0.795 0.205 0.250 Rb
0.225 0.775 0.250 Nd
0.775 0.225 0.750 Nd
0.302 0.312 0.283 W
0.312 0.302 0.783 W
0.688 0.698 0.217 W
0.698 0.688 0.717 W
0.050 0.224 0.692 O
0.065 0.373 0.134 O
0.224 0.050 0.192 O
0.254 0.374 0.560 O
0.373 0.065 0.634 O
0.374 0.254 0.060 O
0.374 0.589 0.029 O
0.411 0.626 0.471 O
0.589 0.374 0.529 O
0.626 0.411 0.971 O
0.626 0.746 0.940 O
0.627 0.935 0.366 O
0.746 0.626 0.440 O
0.776 0.950 0.808 O
0.935 0.627 0.866 O
0.950 0.776 0.308 O